! Hf6Al2Fe | the Alexandria database | meta-GGA SCAN | single point on PBEsol structure; values from VASP
! Magnetization (μB per formula unit): 0.3
! Space-group type: No. 189
! Energy of formation (eV/atom): -0.273
&SYSTEM
  ibrav = 0, nat = 9, ntyp = 3
/
ATOMIC_SPECIES
Fe 55.84 Fe.upf
Hf 178.49 Hf.upf
Al 26.98 Al.upf
CELL_PARAMETERS angstrom
3.2298 0.0000 0.0000
0.0000 7.7838 0.0000
0.0000 -3.8919 6.7410
ATOMIC_POSITIONS crystal
Fe 0.0000 0.0000 0.0000
Hf 0.5000 0.0000 0.7491
Hf 0.0000 0.3930 0.0000
Hf 0.0000 0.6070 0.6070
Hf 0.5000 0.2509 0.2509
Hf 0.0000 0.0000 0.3930
Hf 0.5000 0.7491 0.0000
Al 0.5000 0.6667 0.3333
Al 0.5000 0.3333 0.6667

***

! Ca2MnAs | the Alexandria database | meta-GGA SCAN | single point on PBEsol structure; values from VASP
! Magnetization (μB per formula unit): 4.0
! Space-group type: No. 38
! Energy of formation (eV/atom): -0.669
&SYSTEM
  ibrav = 0, nat = 4, ntyp = 3
/
ATOMIC_SPECIES
Ca 40.08 Ca.upf
Mn 54.94 Mn.upf
As 74.92 As.upf
CELL_PARAMETERS angstrom
4.1312 0.0000 0.0000
0.0000 4.2185 0.0000
0.0000 -2.1093 5.6207
ATOMIC_POSITIONS crystal
Ca 0.0000 0.1067 0.2134
Ca 0.5000 0.3949 0.7898
Mn 0.0000 0.8097 0.6194
As 0.5000 0.6842 0.3684

***

! Co2BiO | the Alexandria database | meta-GGA SCAN | single point on PBEsol structure; values from VASP
! ΔE_f (raw) (eV/atom): 0.6895
! Magnetization (μB per formula unit): 2.4
! Space-group type: No. 225
&SYSTEM
  ibrav = 0, nat = 4, ntyp = 3
/
ATOMIC_SPECIES
Bi 208.98 Bi.upf
Co 58.93 Co.upf
O 16.00 O.upf
CELL_PARAMETERS angstrom
4.1931 0.0000 0.0000
2.0965 3.6313 0.0000
2.0965 1.2104 3.4236
ATOMIC_POSITIONS crystal
Bi 0.5000 0.5000 0.5000
Co 0.7500 0.7500 0.7500
Co 0.2500 0.2500 0.2500
O 0.0000 0.0000 0.0000

***

! Co3P | the Alexandria database | meta-GGA SCAN | single point on PBEsol structure; values from VASP
! Energy above the lowest structure with this stoichiometry (eV/f.u.): 0.214
! Magnetization (μB per formula unit): 0.0
! Space-group type: No. 221
! Energy of formation (eV/atom): -0.052
&SYSTEM
  ibrav = 0, nat = 4, ntyp = 2
/
ATOMIC_SPECIES
Co 58.93 Co.upf
P 30.97 P.upf
CELL_PARAMETERS angstrom
3.3990 0.0000 0.0000
0.0000 3.3990 0.0000
0.0000 0.0000 3.3990
ATOMIC_POSITIONS crystal
Co 0.5000 0.0000 0.5000
Co 0.0000 0.5000 0.5000
Co 0.5000 0.5000 0.0000
P 0.0000 0.0000 0.0000

***

! CdC3Br | the Alexandria database | meta-GGA SCAN | single point on PBEsol structure; values from VASP
! ΔE_f (raw) (eV/atom): 3.4588
! Magnetization (μB per formula unit): 3.5
! Space-group type: No. 221
&SYSTEM
  ibrav = 0, nat = 5, ntyp = 3
/
ATOMIC_SPECIES
C 12.01 C.upf
Cd 112.41 Cd.upf
Br 79.90 Br.upf
CELL_PARAMETERS angstrom
-1.8541 2.5258 2.9863
-3.4490 -2.6143 0.0698
1.8444 -2.3497 3.1325
ATOMIC_POSITIONS crystal
C 0.0000 0.5000 0.0000
C 0.0000 0.0000 0.5000
C 0.5000 0.0000 0.0000
Cd 0.0000 0.0000 0.0000
Br 0.5000 0.5000 0.5000

***

! Y2AlAg | the Alexandria database | meta-GGA SCAN | single point on PBEsol structure; values from VASP
! Magnetization (μB per formula unit): 0.0
! Space-group type: No. 123
! Energy of formation (eV/atom): -0.432
&SYSTEM
  ibrav = 0, nat = 4, ntyp = 3
/
ATOMIC_SPECIES
Y 88.91 Y.upf
Ag 107.87 Ag.upf
Al 26.98 Al.upf
CELL_PARAMETERS angstrom
-1.2845 -0.5862 3.1919
-2.1323 -2.4354 -1.3053
5.2572 -5.2228 1.1565
ATOMIC_POSITIONS crystal
Y 0.0000 0.0000 0.7516
Y 0.0000 0.0000 0.2484
Ag 0.5000 0.5000 0.0000
Al 0.5000 0.5000 0.5000

***

! BaSr | the Alexandria database | meta-GGA SCAN | single point on PBEsol structure; values from VASP
! Energy above the lowest structure with this stoichiometry (eV/f.u.): 0.027
! Magnetization (μB per formula unit): 0.1
! Space-group type: No. 59
! Energy of formation (eV/atom): 0.022
&SYSTEM
  ibrav = 0, nat = 4, ntyp = 2
/
ATOMIC_SPECIES
Sr 87.62 Sr.upf
Ba 137.33 Ba.upf
CELL_PARAMETERS angstrom
-0.7015 -2.3326 3.4887
1.1918 -5.8263 -3.6559
7.1668 0.3958 1.7057
ATOMIC_POSITIONS crystal
Sr 0.0000 0.5000 0.9177
Sr 0.5000 0.0000 0.0823
Ba 0.0000 0.0000 0.5842
Ba 0.5000 0.5000 0.4158

***

! KLiTl2 | the Alexandria database | meta-GGA SCAN | single point on PBEsol structure; values from VASP
! Energy above the lowest structure with this stoichiometry (eV/f.u.): 0.000
! Magnetization (μB per formula unit): 0.0
! Space-group type: No. 12
! Energy of formation (eV/atom): -0.269
&SYSTEM
  ibrav = 0, nat = 4, ntyp = 3
/
ATOMIC_SPECIES
Tl 204.38 Tl.upf
K 39.10 K.upf
Li 6.94 Li.upf
CELL_PARAMETERS angstrom
4.9688 0.0000 0.0000
-2.4844 4.3025 -0.0206
0.0000 -2.8063 6.2533
ATOMIC_POSITIONS crystal
Tl 0.6940 0.3879 0.5824
Tl 0.3060 0.6121 0.4176
K 0.5000 0.0000 0.0000
Li 0.0000 0.0000 0.5000

***

! MgTlOs2 | the Alexandria database | meta-GGA SCAN | single point on PBEsol structure; values from VASP
! Magnetization (μB per formula unit): 0.0
! Space-group type: No. 139
! Energy of formation (eV/atom): 0.778
&SYSTEM
  ibrav = 0, nat = 4, ntyp = 3
/
ATOMIC_SPECIES
Mg 24.30 Mg.upf
Os 190.23 Os.upf
Tl 204.38 Tl.upf
CELL_PARAMETERS angstrom
-3.7755 1.0971 -0.1891
-1.0222 -3.6809 -0.9484
1.9260 0.3695 4.6586
ATOMIC_POSITIONS crystal
Mg 0.0000 0.0000 0.0000
Os 0.7500 0.2500 0.5000
Os 0.2500 0.7500 0.5000
Tl 0.5000 0.5000 0.0000

***

! BaCd2Pb2 | the Alexandria database | meta-GGA SCAN | single point on PBEsol structure; values from VASP
! Magnetization (μB per formula unit): 0.0
! Space-group type: No. 139
! Energy of formation (eV/atom): -0.462
&SYSTEM
  ibrav = 0, nat = 5, ntyp = 3
/
ATOMIC_SPECIES
Pb 207.20 Pb.upf
Cd 112.41 Cd.upf
Ba 137.33 Ba.upf
CELL_PARAMETERS angstrom
4.9589 0.0000 0.0000
0.0000 4.9589 0.0000
-2.4795 -2.4795 6.1285
ATOMIC_POSITIONS crystal
Pb 0.2500 0.7500 0.5000
Pb 0.7500 0.2500 0.5000
Cd 0.6106 0.6106 0.2212
Cd 0.3894 0.3894 0.7788
Ba 0.0000 0.0000 0.0000

***

! Li2Cu | the Alexandria database | meta-GGA SCAN | single point on PBEsol structure; values from VASP
! Magnetization (μB per formula unit): 0.0
! Space-group type: No. 71
! Energy of formation (eV/atom): -0.002
&SYSTEM
  ibrav = 0, nat = 3, ntyp = 2
/
ATOMIC_SPECIES
Li 6.94 Li.upf
Cu 63.55 Cu.upf
CELL_PARAMETERS angstrom
-0.4116 -2.4434 0.5883
1.4285 0.6357 3.6395
-4.1693 1.8277 -0.8385
ATOMIC_POSITIONS crystal
Li 0.3397 0.3397 0.6793
Li 0.6603 0.6603 0.3207
Cu 0.0000 0.0000 0.0000

***

! Y2Si2Os | the Alexandria database | meta-GGA SCAN | single point on PBEsol structure; values from VASP
! ΔE_f (raw) (eV/atom): -0.7819
! Magnetization (μB per formula unit): 0.0
! Space-group type: No. 127
&SYSTEM
  ibrav = 0, nat = 10, ntyp = 3
/
ATOMIC_SPECIES
Y 88.91 Y.upf
Si 28.09 Si.upf
Os 190.23 Os.upf
CELL_PARAMETERS angstrom
4.2898 0.0000 0.0000
0.0000 6.5536 0.0000
0.0000 0.0000 6.5536
ATOMIC_POSITIONS crystal
Y 0.5000 0.6764 0.8236
Y 0.5000 0.1764 0.6764
Y 0.5000 0.8236 0.3236
Y 0.5000 0.3236 0.1764
Si 0.0000 0.1314 0.3686
Si 0.0000 0.6314 0.1314
Si 0.0000 0.8686 0.6314
Si 0.0000 0.3686 0.8686
Os 0.0000 0.5000 0.5000
Os 0.0000 0.0000 0.0000

***

! LiRe3P | the Alexandria database | meta-GGA SCAN | single point on PBEsol structure; values from VASP
! Magnetization (μB per formula unit): 0.0
! Space-group type: No. 221
! Energy of formation (eV/atom): 1.812
&SYSTEM
  ibrav = 0, nat = 5, ntyp = 3
/
ATOMIC_SPECIES
Li 6.94 Li.upf
Re 186.21 Re.upf
P 30.97 P.upf
CELL_PARAMETERS angstrom
-2.1697 3.4173 0.4882
-3.1566 -1.7306 -1.9144
-1.3973 -1.3967 3.5666
ATOMIC_POSITIONS crystal
Li 0.0000 0.0000 0.0000
Re 0.5000 0.0000 0.0000
Re 0.0000 0.5000 0.0000
Re 0.0000 0.0000 0.5000
P 0.5000 0.5000 0.5000

***

! La2CdRh | the Alexandria database | meta-GGA SCAN | single point on PBEsol structure; values from VASP
! Magnetization (μB per formula unit): 0.0
! Space-group type: No. 38
! Energy of formation (eV/atom): -0.560
&SYSTEM
  ibrav = 0, nat = 4, ntyp = 3
/
ATOMIC_SPECIES
La 138.91 La.upf
Cd 112.41 Cd.upf
Rh 102.91 Rh.upf
CELL_PARAMETERS angstrom
3.9866 0.0000 0.0000
0.0000 4.6309 0.0000
0.0000 -2.3155 5.6878
ATOMIC_POSITIONS crystal
La 0.0000 0.0821 0.1643
La 0.5000 0.3811 0.7623
Cd 0.5000 0.6784 0.3569
Rh 0.0000 0.8566 0.7132

***

! RbCr2FeAg | the Alexandria database | meta-GGA SCAN | single point on PBEsol structure; values from VASP
! Magnetization (μB per formula unit): 12.9
! Space-group type: No. 123
! Energy of formation (eV/atom): 1.078
&SYSTEM
  ibrav = 0, nat = 5, ntyp = 4
/
ATOMIC_SPECIES
Ag 107.87 Ag.upf
Cr 52.00 Cr.upf
Rb 85.47 Rb.upf
Fe 55.84 Fe.upf
CELL_PARAMETERS angstrom
4.8865 0.0000 0.0000
0.0000 5.1399 0.0000
0.0000 0.0000 5.1399
ATOMIC_POSITIONS crystal
Ag 0.0000 0.0000 0.0000
Cr 0.0000 0.0000 0.5000
Cr 0.0000 0.5000 0.0000
Rb 0.5000 0.5000 0.5000
Fe 0.5000 0.0000 0.0000

***

! ScReNi6 | the Alexandria database | meta-GGA SCAN | single point on PBEsol structure; values from VASP
! Magnetization (μB per formula unit): 1.9
! Space-group type: No. 65
! Energy of formation (eV/atom): -0.120
&SYSTEM
  ibrav = 0, nat = 32, ntyp = 3
/
ATOMIC_SPECIES
Ni 58.69 Ni.upf
Re 186.21 Re.upf
Sc 44.96 Sc.upf
CELL_PARAMETERS angstrom
-4.5965 -3.7135 2.0577
3.7858 1.4790 4.7574
-5.7276 8.2022 2.0079
ATOMIC_POSITIONS crystal
Ni 0.3686 0.1207 0.8707
Ni 0.2452 0.7548 0.2581
Ni 0.0000 0.0000 0.0000
Ni 0.1207 0.3686 0.8707
Ni 0.2452 0.7548 0.7419
Ni 0.3698 0.1127 0.3782
Ni 0.1127 0.3698 0.3782
Ni 0.6314 0.8793 0.1293
Ni 0.6314 0.8793 0.8707
Ni 0.8793 0.6314 0.8707
Ni 0.6302 0.8873 0.3782
Ni 0.6302 0.8873 0.6218
Ni 0.7548 0.2452 0.7419
Ni 0.8793 0.6314 0.1293
Ni 0.8873 0.6302 0.3782
Ni 0.1207 0.3686 0.1293
Ni 0.3686 0.1207 0.1293
Ni 0.1127 0.3698 0.6218
Ni 0.7548 0.2452 0.2581
Ni 0.3698 0.1127 0.6218
Ni 0.8873 0.6302 0.6218
Ni 0.5000 0.5000 0.0000
Ni 0.5000 0.5000 0.5000
Ni 0.0000 0.0000 0.5000
Re 0.0000 0.0000 0.7525
Re 0.7410 0.2590 0.5000
Re 0.2590 0.7410 0.5000
Re 0.0000 0.0000 0.2475
Sc 0.5000 0.5000 0.2505
Sc 0.2512 0.7488 0.0000
Sc 0.5000 0.5000 0.7495
Sc 0.7488 0.2512 0.0000

***

! ZrTeOs | the Alexandria database | meta-GGA SCAN | single point on PBEsol structure; values from VASP
! ΔE_f (raw) (eV/atom): 0.1250
! Magnetization (μB per formula unit): 0.0
! Space-group type: No. 156
&SYSTEM
  ibrav = 0, nat = 3, ntyp = 3
/
ATOMIC_SPECIES
Zr 91.22 Zr.upf
Te 127.60 Te.upf
Os 190.23 Os.upf
CELL_PARAMETERS angstrom
3.3000 0.0000 0.0000
-1.6500 2.8579 0.0000
0.0000 0.0000 6.5323
ATOMIC_POSITIONS crystal
Zr 0.6667 0.3333 0.2999
Te 0.3333 0.6667 0.6725
Os 0.0000 0.0000 0.0276

***

! BeSbBr2 | the Alexandria database | meta-GGA SCAN | single point on PBEsol structure; values from VASP
! Energy above the lowest structure with this stoichiometry (eV/f.u.): 0.000
! ΔE_f (raw) (eV/atom): -0.0781
! Magnetization (μB per formula unit): 0.0
! Space-group type: No. 35
&SYSTEM
  ibrav = 0, nat = 4, ntyp = 3
/
ATOMIC_SPECIES
Be 9.01 Be.upf
Br 79.90 Br.upf
Sb 121.76 Sb.upf
CELL_PARAMETERS angstrom
3.5180 0.0000 0.0000
-1.7590 3.2935 0.0000
0.0000 0.0000 8.6751
ATOMIC_POSITIONS crystal
Be 0.5000 0.0000 0.7578
Br 0.0000 0.0000 0.9163
Br 0.5000 0.0000 0.2867
Sb 0.0000 0.0000 0.5392

***

! Ba2ScMo | the Alexandria database | meta-GGA SCAN | single point on PBEsol structure; values from VASP
! Magnetization (μB per formula unit): 1.5
! Space-group type: No. 44
! Energy of formation (eV/atom): 0.775
&SYSTEM
  ibrav = 0, nat = 4, ntyp = 3
/
ATOMIC_SPECIES
Ba 137.33 Ba.upf
Sc 44.96 Sc.upf
Mo 95.94 Mo.upf
CELL_PARAMETERS angstrom
-0.6674 4.3965 -0.3465
-1.6049 0.2216 5.9024
5.7455 -1.5128 -1.5546
ATOMIC_POSITIONS crystal
Ba 0.9741 0.9741 0.9482
Ba 0.7886 0.2886 0.5773
Sc 0.1737 0.6737 0.3475
Mo 0.5635 0.5635 0.1270

***

! MgScZnP2 | the Alexandria database | meta-GGA SCAN | single point on PBEsol structure; values from VASP
! Magnetization (μB per formula unit): 0.0
! Space-group type: No. 123
! Energy of formation (eV/atom): 0.436
&SYSTEM
  ibrav = 0, nat = 5, ntyp = 4
/
ATOMIC_SPECIES
P 30.97 P.upf
Mg 24.30 Mg.upf
Zn 65.41 Zn.upf
Sc 44.96 Sc.upf
CELL_PARAMETERS angstrom
4.6245 0.0000 0.0000
0.0000 4.6245 0.0000
0.0000 0.0000 4.8263
ATOMIC_POSITIONS crystal
P 0.5000 0.0000 0.0000
P 0.0000 0.5000 0.0000
Mg 0.5000 0.5000 0.5000
Zn 0.0000 0.0000 0.0000
Sc 0.0000 0.0000 0.5000